1.
A plane-wave DFT calculation with PBE was carried out for a relaxed MgAl2Co crystal.

The calculation puts the formation energy at -0.2493 eV/atom. The calculation puts the calculated volume at 15.3 Å³ per atom.

It has space group P4/mmm (No. 123), with a = 2.8374 Å, b = 2.8374 Å, c = 7.5986 Å, α = 90.00°, β = 90.00° and γ = 90.00°. The inequivalent atoms are Mg at (0.0000, 0.0000, 0.0000), Al at (0.5000, 0.5000, 0.3080) and Co at (0.0000, 0.0000, 0.5000).

2.
A plane-wave DFT calculation with PBE was carried out for a relaxed Al4CuF12 crystal.

The calculation puts the calculated volume at 11.8 Å³ per atom. The calculation puts the uncorrected formation energy at -3.05 eV per atom.

It has space group Immm (No. 71), with a = 7.3807 Å, b = 7.3808 Å, c = 7.3823 Å, α = 90.00°, β = 90.00° and γ = 90.00°. The inequivalent atoms are Al at (0.2500, 0.2500, 0.2500), Cu at (0.0000, 0.0000, 0.0000), F at (0.0000, 0.2519, 0.2579), F at (0.2425, 0.5000, 0.2471) and F at (0.2484, 0.2434, 0.5000).

3.
A plane-wave DFT calculation with PBE was carried out for a relaxed RuPt6Rh crystal.

The value obtained for the energy above the lowest structure with this stoichiometry is 0 meV/atom. The calculation puts the formation energy at -0.0120 eV/atom. The calculation puts the calculated volume at 15.2 Å³ per atom.

It has space group C2/m (No. 12), with a = 8.8048 Å, b = 3.9307 Å, c = 7.8744 Å, α = 90.00°, β = 116.57° and γ = 90.00°. The inequivalent atoms are Ru at (0.0000, 0.0000, 0.0000), Pt at (0.0016, 0.5000, 0.2476), Pt at (0.2494, 0.0000, 0.8764), Pt at (0.2503, 0.0000, 0.3736) and Rh at (0.0000, 0.0000, 0.5000).

4.
A plane-wave DFT calculation with PBE was carried out for a relaxed Gd2CuBi crystal.

The value obtained for the energy above the lowest structure with this stoichiometry is 447 meV/atom. The calculation puts the formation energy at 0.0223 eV/atom. The calculation puts the calculated volume at 29.8 Å³ per atom.

It has space group R-3m (No. 166, hexagonal axes), with a = 3.6751 Å, b = 3.6751 Å, c = 30.6069 Å, α = 90.00°, β = 90.00° and γ = 120.00°. The inequivalent atoms are Gd at (0.0000, 0.0000, 0.1041), Cu at (0.0000, 0.0000, 0.5000) and Bi at (0.0000, 0.0000, 0.0000).

5.
A plane-wave DFT calculation with PBE was carried out for a relaxed NbCo2Rh crystal.

The value obtained for the energy above the lowest structure with this stoichiometry is 249 meV/atom. The calculation puts the formation energy at -0.0040 eV/atom. The calculation puts the calculated volume at 13.4 Å³ per atom.

It has space group Fm-3m (No. 225), with a = 5.9889 Å, b = 5.9889 Å, c = 5.9889 Å, α = 90.00°, β = 90.00° and γ = 90.00°. The inequivalent atoms are Nb at (0.0000, 0.0000, 0.0000), Co at (0.2500, 0.2500, 0.2500) and Rh at (0.0000, 0.0000, 0.5000).

6.
A plane-wave DFT calculation with PBE was carried out for a relaxed Y3ErTe6 crystal.

The value obtained for the energy above the lowest structure with this stoichiometry is 0 meV/atom. The calculation puts the calculated volume at 33.0 Å³ per atom. The calculation puts the uncorrected formation energy at -1.36 eV per atom.

It has space group P2_1/c (No. 14), with a = 7.3243 Å, b = 8.0523 Å, c = 13.3424 Å, α = 90.00°, β = 123.08° and γ = 90.00°. The inequivalent atoms are Y at (0.0000, 0.0000, 0.0000), Y at (0.3033, 0.1204, 0.7510), Er at (0.5000, 0.0000, 0.5000), Te at (0.0858, 0.0522, 0.2514), Te at (0.2459, 0.6739, 0.0820) and Te at (0.4198, 0.1758, 0.0816).

7.
A plane-wave DFT calculation with PBE was carried out for a relaxed SnTe3O8 crystal.

The calculation puts the calculated volume at 15.6 Å³ per atom. The calculation puts the uncorrected formation energy at -1.18 eV per atom.

It has space group Ia-3 (No. 206), with a = 11.4353 Å, b = 11.4353 Å, c = 11.4353 Å, α = 90.00°, β = 90.00° and γ = 90.00°. The inequivalent atoms are Sn at (0.0000, 0.0000, 0.0000), Te at (0.0000, 0.2500, 0.1986), O at (0.0694, 0.1408, 0.5929) and O at (0.1650, 0.1650, 0.1650).

8.
A plane-wave DFT calculation with PBE was carried out for a relaxed Nd7TlIn4 crystal.

The calculation puts the formation energy at -0.2358 eV/atom. The calculation puts the calculated volume at 31.4 Å³ per atom.

It has space group C2/m (No. 12), with a = 14.7959 Å, b = 6.0063 Å, c = 9.6183 Å, α = 90.00°, β = 118.29° and γ = 90.00°. The inequivalent atoms are Nd at (0.0000, 0.0000, 0.0000), Nd at (0.0768, 0.5000, 0.4101), Nd at (0.1829, 0.5000, 0.8713), Nd at (0.2485, 0.5000, 0.2809), Tl at (0.0000, 0.5000, 0.0000), In at (0.0306, 0.0000, 0.6783) and In at (0.1822, 0.0000, 0.3411).

9.
A plane-wave DFT calculation with PBE was carried out for a relaxed CaFe2 crystal.

The calculation puts the formation energy at 0.5060 eV/atom. The calculation puts the calculated volume at 18.7 Å³ per atom.

It has space group I4_1/amd (No. 141, origin choice 2), with a = 4.0920 Å, b = 4.0920 Å, c = 13.3924 Å, α = 90.00°, β = 90.00° and γ = 90.00°. The inequivalent atoms are Ca at (0.0000, 0.2500, 0.3750) and Fe at (0.0000, 0.2500, 0.7903).

10.
A plane-wave DFT calculation with PBE was carried out for a relaxed Dy5PuTl3 crystal.

The calculation puts the formation energy at -0.2371 eV/atom. The calculation puts the calculated volume at 28.0 Å³ per atom.

It has space group P6_3/mcm (No. 193), with a = 9.3479 Å, b = 9.3479 Å, c = 6.6601 Å, α = 90.00°, β = 90.00° and γ = 120.00°. The inequivalent atoms are Dy at (0.0000, 0.3150, 0.2500), Dy at (0.3333, 0.6667, 0.0000), Pu at (0.0000, 0.0000, 0.0000) and Tl at (0.0000, 0.3499, 0.7500).

11.
A plane-wave DFT calculation with PBE was carried out for a relaxed LaZrFe2 crystal.

The calculation puts the formation energy at 0.1931 eV/atom. The calculation puts the calculated volume at 21.0 Å³ per atom.

It has space group Imm2 (No. 44), with a = 3.4268 Å, b = 4.1487 Å, c = 11.8170 Å, α = 90.00°, β = 90.00° and γ = 90.00°. The inequivalent atoms are La at (0.0000, 0.0000, 0.0000), Zr at (0.0000, 0.5000, 0.2312), Fe at (0.0000, 0.0000, 0.3921) and Fe at (0.0000, 0.5000, 0.7677).

12.
A plane-wave DFT calculation with PBE was carried out for a relaxed MnCr2GeSe6 crystal.

The calculation puts the calculated volume at 21.0 Å³ per atom. The calculation puts the uncorrected formation energy at -0.39 eV per atom.

It has space group R3 (No. 146, hexagonal axes), with a = 6.4902 Å, b = 6.4902 Å, c = 17.2857 Å, α = 90.00°, β = 90.00° and γ = 120.00°. The inequivalent atoms are Mn at (0.0000, 0.0000, 0.0000), Cr at (0.0000, 0.0000, 0.1947), Cr at (0.0000, 0.0000, 0.6901), Ge at (0.0000, 0.0000, 0.4937), Se at (0.0192, 0.6695, 0.2649) and Se at (0.0457, 0.3572, 0.7616).